# SmHo2Co | Alexandria | GGA-PBE | optimized geometry
# * space group: Pnma, No. 62
# * formation energy: -14.4 kJ per mole of atoms
data_SmHo2Co
_symmetry_space_group_name_H-M 'P 1'
_symmetry_Int_Tables_number 1
_symmetry_space_group_name_Hall 'P 1'
_cell_length_a 6.298
_cell_length_b 6.939
_cell_length_c 9.436
_cell_angle_alpha 90.00
_cell_angle_beta 90.00
_cell_angle_gamma 90.00
loop_
_atom_site_label
_atom_site_type_symbol
_atom_site_fract_x
_atom_site_fract_y
_atom_site_fract_z
Ho1 Ho 0.177 0.672 0.068
Ho2 Ho 0.177 0.672 0.432
Ho3 Ho 0.677 0.828 0.932
Ho4 Ho 0.323 0.172 0.432
Ho5 Ho 0.677 0.828 0.568
Ho6 Ho 0.823 0.328 0.932
Ho7 Ho 0.323 0.172 0.068
Ho8 Ho 0.823 0.328 0.568
Co1 Co 0.943 0.613 0.750
Co2 Co 0.443 0.887 0.250
Co3 Co 0.057 0.387 0.250
Co4 Co 0.557 0.113 0.750
Sm1 Sm 0.140 0.957 0.750
Sm2 Sm 0.640 0.543 0.250
Sm3 Sm 0.360 0.457 0.750
Sm4 Sm 0.860 0.043 0.250

# Sm2HoCo | Alexandria | GGA-PBE | optimized geometry
# * space group: Pnma, No. 62
# * formation energy: -11.3 kJ per mole of atoms
data_Sm2HoCo
_symmetry_space_group_name_H-M 'P 1'
_symmetry_Int_Tables_number 1
_symmetry_space_group_name_Hall 'P 1'
_cell_length_a 6.232
_cell_length_b 7.020
_cell_length_c 9.715
_cell_angle_alpha 90.00
_cell_angle_beta 90.00
_cell_angle_gamma 90.00
loop_
_atom_site_label
_atom_site_type_symbol
_atom_site_fract_x
_atom_site_fract_y
_atom_site_fract_z
Sm1 Sm 0.824 0.324 0.569
Sm2 Sm 0.176 0.676 0.069
Sm3 Sm 0.176 0.676 0.431
Sm4 Sm 0.676 0.824 0.569
Sm5 Sm 0.324 0.176 0.431
Sm6 Sm 0.676 0.824 0.931
Sm7 Sm 0.324 0.176 0.069
Sm8 Sm 0.824 0.324 0.931
Co1 Co 0.451 0.884 0.250
Co2 Co 0.049 0.384 0.250
Co3 Co 0.549 0.116 0.750
Co4 Co 0.951 0.616 0.750
Ho1 Ho 0.651 0.543 0.250
Ho2 Ho 0.349 0.457 0.750
Ho3 Ho 0.849 0.043 0.250
Ho4 Ho 0.151 0.957 0.750

# Sm3Ho3Co4 | Alexandria | GGA-PBE | optimized geometry
# * space group: Amm2, No. 38
# * formation energy: -10.0 kJ per mole of atoms
data_Sm3Ho3Co4
_symmetry_space_group_name_H-M 'P 1'
_symmetry_Int_Tables_number 1
_symmetry_space_group_name_Hall 'P 1'
_cell_length_a 4.188
_cell_length_b 7.262
_cell_length_c 7.262
_cell_angle_alpha 90.46
_cell_angle_beta 90.00
_cell_angle_gamma 90.00
loop_
_atom_site_label
_atom_site_type_symbol
_atom_site_fract_x
_atom_site_fract_y
_atom_site_fract_z
Co1 Co 0.000 0.883 0.897
Co2 Co 0.000 0.400 0.600
Co3 Co 0.000 0.618 0.382
Co4 Co 0.000 0.103 0.117
Sm1 Sm 0.500 0.168 0.832
Sm2 Sm 0.000 0.002 0.500
Sm3 Sm 0.000 0.500 0.998
Ho1 Ho 0.500 0.826 0.174
Ho2 Ho 0.500 0.671 0.670
Ho3 Ho 0.500 0.330 0.329

# Sm3Ho2Co2 | Alexandria | GGA-PBE | optimized geometry
# * space group: C2/m, No. 12
# * formation energy: -11.4 kJ per mole of atoms
data_Sm3Ho2Co2
_symmetry_space_group_name_H-M 'P 1'
_symmetry_Int_Tables_number 1
_symmetry_space_group_name_Hall 'P 1'
_cell_length_a 3.734
_cell_length_b 6.296
_cell_length_c 8.505
_cell_angle_alpha 100.38
_cell_angle_beta 102.68
_cell_angle_gamma 107.28
loop_
_atom_site_label
_atom_site_type_symbol
_atom_site_fract_x
_atom_site_fract_y
_atom_site_fract_z
Sm1 Sm 0.500 0.000 0.000
Sm2 Sm 0.190 0.806 0.574
Sm3 Sm 0.810 0.194 0.426
Co1 Co 0.940 0.123 0.758
Co2 Co 0.060 0.877 0.242
Ho1 Ho 0.366 0.541 0.192
Ho2 Ho 0.634 0.459 0.808

# Sm4HoCo4 | Alexandria | GGA-PBE | optimized geometry
# * space group: P4_2/n, No. 86
# * formation energy: -1.1 kJ per mole of atoms
data_Sm4HoCo4
_symmetry_space_group_name_H-M 'P 1'
_symmetry_Int_Tables_number 1
_symmetry_space_group_name_Hall 'P 1'
_cell_length_a 5.714
_cell_length_b 8.468
_cell_length_c 8.468
_cell_angle_alpha 90.00
_cell_angle_beta 90.00
_cell_angle_gamma 90.00
loop_
_atom_site_label
_atom_site_type_symbol
_atom_site_fract_x
_atom_site_fract_y
_atom_site_fract_z
Co1 Co 0.357 0.636 0.760
Co2 Co 0.857 0.260 0.864
Co3 Co 0.143 0.864 0.740
Co4 Co 0.143 0.136 0.260
Co5 Co 0.857 0.740 0.136
Co6 Co 0.643 0.240 0.636
Co7 Co 0.643 0.760 0.364
Co8 Co 0.357 0.364 0.240
Sm1 Sm 0.620 0.073 0.306
Sm2 Sm 0.380 0.306 0.927
Sm3 Sm 0.120 0.194 0.573
Sm4 Sm 0.620 0.927 0.694
Sm5 Sm 0.120 0.806 0.427
Sm6 Sm 0.880 0.573 0.806
Sm7 Sm 0.380 0.694 0.073
Sm8 Sm 0.880 0.427 0.194
Ho1 Ho 0.000 0.000 0.000
Ho2 Ho 0.500 0.500 0.500

# Sm12HoCo6 | Alexandria | GGA-PBE | optimized geometry
# * space group: Im-3, No. 204
# * formation energy: -7.2 kJ per mole of atoms
data_Sm12HoCo6
_symmetry_space_group_name_H-M 'P 1'
_symmetry_Int_Tables_number 1
_symmetry_space_group_name_Hall 'P 1'
_cell_length_a 8.629
_cell_length_b 8.629
_cell_length_c 8.629
_cell_angle_alpha 109.47
_cell_angle_beta 109.47
_cell_angle_gamma 109.47
loop_
_atom_site_label
_atom_site_type_symbol
_atom_site_fract_x
_atom_site_fract_y
_atom_site_fract_z
Co1 Co 0.612 0.500 0.112
Co2 Co 0.388 0.500 0.888
Co3 Co 0.112 0.612 0.500
Co4 Co 0.500 0.112 0.612
Co5 Co 0.888 0.388 0.500
Co6 Co 0.500 0.888 0.388
Sm1 Sm 0.115 0.805 0.310
Sm2 Sm 0.690 0.885 0.195
Sm3 Sm 0.310 0.115 0.805
Sm4 Sm 0.690 0.496 0.805
Sm5 Sm 0.885 0.195 0.690
Sm6 Sm 0.805 0.690 0.496
Sm7 Sm 0.504 0.195 0.310
Sm8 Sm 0.195 0.690 0.885
Sm9 Sm 0.195 0.310 0.504
Sm10 Sm 0.805 0.310 0.115
Sm11 Sm 0.496 0.805 0.690
Sm12 Sm 0.310 0.504 0.195
Ho1 Ho 0.000 0.000 0.000

# SmHo2Co2 | Alexandria | GGA-PBE | optimized geometry
# * space group: C2/m, No. 12
# * formation energy: -6.6 kJ per mole of atoms
data_SmHo2Co2
_symmetry_space_group_name_H-M 'P 1'
_symmetry_Int_Tables_number 1
_symmetry_space_group_name_Hall 'P 1'
_cell_length_a 3.745
_cell_length_b 5.504
_cell_length_c 5.978
_cell_angle_alpha 103.22
_cell_angle_beta 108.25
_cell_angle_gamma 90.00
loop_
_atom_site_label
_atom_site_type_symbol
_atom_site_fract_x
_atom_site_fract_y
_atom_site_fract_z
Sm1 Sm 0.000 0.000 0.000
Co1 Co 0.719 0.104 0.439
Co2 Co 0.281 0.896 0.561
Ho1 Ho 0.350 0.418 0.701
Ho2 Ho 0.650 0.582 0.299

# SmHo12Co6 | Alexandria | GGA-PBE | optimized geometry
# * space group: Im-3, No. 204
# * formation energy: -14.0 kJ per mole of atoms
data_SmHo12Co6
_symmetry_space_group_name_H-M 'P 1'
_symmetry_Int_Tables_number 1
_symmetry_space_group_name_Hall 'P 1'
_cell_length_a 8.423
_cell_length_b 8.423
_cell_length_c 8.423
_cell_angle_alpha 109.47
_cell_angle_beta 109.47
_cell_angle_gamma 109.47
loop_
_atom_site_label
_atom_site_type_symbol
_atom_site_fract_x
_atom_site_fract_y
_atom_site_fract_z
Ho1 Ho 0.691 0.497 0.806
Ho2 Ho 0.885 0.194 0.691
Ho3 Ho 0.115 0.806 0.309
Ho4 Ho 0.309 0.503 0.194
Ho5 Ho 0.806 0.691 0.497
Ho6 Ho 0.806 0.309 0.115
Ho7 Ho 0.194 0.309 0.503
Ho8 Ho 0.691 0.885 0.194
Ho9 Ho 0.194 0.691 0.885
Ho10 Ho 0.309 0.115 0.806
Ho11 Ho 0.503 0.194 0.309
Ho12 Ho 0.497 0.806 0.691
Co1 Co 0.386 0.500 0.886
Co2 Co 0.614 0.500 0.114
Co3 Co 0.500 0.114 0.614
Co4 Co 0.886 0.386 0.500
Co5 Co 0.114 0.614 0.500
Co6 Co 0.500 0.886 0.386
Sm1 Sm 0.000 0.000 0.000

# Sm3HoCo2 | Alexandria | GGA-PBE | optimized geometry
# * space group: C2/m, No. 12
# * formation energy: -10.5 kJ per mole of atoms
data_Sm3HoCo2
_symmetry_space_group_name_H-M 'P 1'
_symmetry_Int_Tables_number 1
_symmetry_space_group_name_Hall 'P 1'
_cell_length_a 3.778
_cell_length_b 8.580
_cell_length_c 10.020
_cell_angle_alpha 78.06
_cell_angle_beta 79.13
_cell_angle_gamma 77.28
loop_
_atom_site_label
_atom_site_type_symbol
_atom_site_fract_x
_atom_site_fract_y
_atom_site_fract_z
Co1 Co 0.765 0.920 0.549
Co2 Co 0.235 0.080 0.451
Co3 Co 0.767 0.419 0.046
Co4 Co 0.233 0.581 0.954
Ho1 Ho 0.162 0.429 0.248
Ho2 Ho 0.838 0.571 0.752
Sm1 Sm 0.584 0.771 0.062
Sm2 Sm 0.583 0.280 0.554
Sm3 Sm 0.160 0.928 0.751
Sm4 Sm 0.417 0.720 0.446
Sm5 Sm 0.416 0.229 0.938
Sm6 Sm 0.840 0.072 0.249

# SmHo3Co8 | Alexandria | GGA-PBE | optimized geometry
# * space group: R3m, No. 160
# * formation energy: -18.3 kJ per mole of atoms
data_SmHo3Co8
_symmetry_space_group_name_H-M 'P 1'
_symmetry_Int_Tables_number 1
_symmetry_space_group_name_Hall 'P 1'
_cell_length_a 5.070
_cell_length_b 5.070
_cell_length_c 8.793
_cell_angle_alpha 73.24
_cell_angle_beta 73.24
_cell_angle_gamma 60.00
loop_
_atom_site_label
_atom_site_type_symbol
_atom_site_fract_x
_atom_site_fract_y
_atom_site_fract_z
Co1 Co 0.940 0.438 0.184
Co2 Co 0.938 0.938 0.690
Co3 Co 0.438 0.940 0.184
Co4 Co 0.434 0.938 0.690
Co5 Co 0.938 0.434 0.690
Co6 Co 0.187 0.187 0.438
Co7 Co 0.688 0.688 0.937
Co8 Co 0.438 0.438 0.184
Ho1 Ho 0.375 0.375 0.875
Ho2 Ho 0.500 0.500 0.501
Ho3 Ho 0.000 0.000 0.000
Sm1 Sm 0.875 0.875 0.375

# SmHo4Co | Alexandria | GGA-PBE | optimized geometry
# * space group: C2/m, No. 12
# * formation energy: -3.9 kJ per mole of atoms
data_SmHo4Co
_symmetry_space_group_name_H-M 'P 1'
_symmetry_Int_Tables_number 1
_symmetry_space_group_name_Hall 'P 1'
_cell_length_a 6.196
_cell_length_b 3.547
_cell_length_c 8.530
_cell_angle_alpha 77.97
_cell_angle_beta 105.94
_cell_angle_gamma 73.36
loop_
_atom_site_label
_atom_site_type_symbol
_atom_site_fract_x
_atom_site_fract_y
_atom_site_fract_z
Sm1 Sm 0.000 0.000 0.000
Ho1 Ho 0.451 0.878 0.793
Ho2 Ho 0.129 0.246 0.380
Ho3 Ho 0.549 0.122 0.207
Ho4 Ho 0.871 0.754 0.620
Co1 Co 0.500 0.500 0.500

# SmHoTlCo | Alexandria | GGA-PBE | optimized geometry
# * space group: F-43m, No. 216
# * formation energy: -9.5 kJ per mole of atoms
data_SmHoTlCo
_symmetry_space_group_name_H-M 'P 1'
_symmetry_Int_Tables_number 1
_symmetry_space_group_name_Hall 'P 1'
_cell_length_a 5.153
_cell_length_b 5.153
_cell_length_c 5.153
_cell_angle_alpha 60.00
_cell_angle_beta 60.00
_cell_angle_gamma 60.00
loop_
_atom_site_label
_atom_site_type_symbol
_atom_site_fract_x
_atom_site_fract_y
_atom_site_fract_z
Tl1 Tl 0.000 0.000 0.000
Sm1 Sm 0.250 0.250 0.250
Co1 Co 0.500 0.500 0.500
Ho1 Ho 0.750 0.750 0.750